Computed, not measured: crystalline CoRu2O at its relaxed geometry at the PBE+U level of DFT.

Unit cell a=5.078 b=5.078 c=5.948 alpha=64.73 beta=64.73 gamma=90.00
Fractional positions:
1 Co 0.000 0.000 0.000
2 Co 0.750 0.250 0.500
3 Ru 0.201 0.625 0.250
4 Ru 0.549 0.125 0.250
5 Ru 0.875 0.799 0.750
6 Ru 0.375 0.451 0.750
7 O 0.250 0.750 0.500
8 O 0.500 0.500 0.000

Properties
**E**: -51.96 eV per cell
**Density of states at the Fermi level**: 1.89 states/eV/f.u.
**Crystal system**: tetragonal
**SG**: I-42d (122)